Below is an optimized crystal structure of Te2H4I, with properties calculated at the GGA-PBE level.

As for the crystal system: triclinic. For the total energy, the calculation gives -20.63 eV/cell.

The space group is P-1 (No. 2) and the conventional cell measures 5.0743, 5.4555 and 6.6106 Å, with angles of 91.45, 105.76 and 94.82 degrees. The inequivalent atoms are Te at (0.1302, 0.1779, 0.3987), H at (0.1164, 0.9456, 0.2203), H at (0.4737, 0.9331, 0.9987) and I at (0.0000, 0.5000, 0.0000).

***

Below is an optimized crystal structure of TeHI3, with properties calculated at the GGA-PBE level.

As for the crystal system: cubic. The energy above the most stable polymorph in this dataset is 263 meV per atom.

The space group is Pm-3m (No. 221) and the conventional cell measures 5.1217, 5.1217 and 5.1217 Å, with angles of 90.00, 90.00 and 90.00 degrees. The inequivalent atoms are Te at (0.0000, 0.0000, 0.0000), H at (0.5000, 0.5000, 0.5000) and I at (0.0000, 0.5000, 0.5000).

***

Below is an optimized crystal structure of Te2HI, with properties calculated at the GGA-PBE level.

As for the crystal system: monoclinic. The energy above the most stable polymorph in this dataset is 0 meV per atom.

The space group is P2/c (No. 13) and the conventional cell measures 8.6361, 4.8586 and 13.7158 Å, with angles of 90.00, 117.40 and 90.00 degrees. The inequivalent atoms are Te at (0.0694, 0.2164, 0.3628), Te at (0.3841, 0.1392, 0.8971), H at (0.4567, 0.0930, 0.3351) and I at (0.2394, 0.4596, 0.6447).

***

Below is an optimized crystal structure of Te3HI, with properties calculated at the GGA-PBE level.

As for the crystal system: cubic. The energy above the most stable polymorph in this dataset is 564 meV per atom.

The space group is Pm-3m (No. 221) and the conventional cell measures 5.9425, 5.9425 and 5.9425 Å, with angles of 90.00, 90.00 and 90.00 degrees. The inequivalent atoms are Te at (0.0000, 0.0000, 0.5000), H at (0.5000, 0.5000, 0.5000) and I at (0.0000, 0.0000, 0.0000).

***

Below is an optimized crystal structure of Te2HI, with properties calculated at the GGA-PBE level.

As for the crystal system: trigonal. The energy above the most stable polymorph in this dataset is 264 meV per atom.

The space group is R-3m (No. 166, hexagonal axes) and the conventional cell measures 3.3238, 3.3238 and 36.2585 Å, with angles of 90.00, 90.00 and 120.00 degrees. The inequivalent atoms are Te at (0.0000, 0.0000, 0.0554), H at (0.0000, 0.0000, 0.0000) and I at (0.0000, 0.0000, 0.5000).

***

Below is an optimized crystal structure of Te2HI, with properties calculated at the GGA-PBE level.

As for the crystal system: tetragonal. The energy above the most stable polymorph in this dataset is 472 meV per atom.

The space group is I-42d (No. 122) and the conventional cell measures 6.6343, 6.6343 and 9.6415 Å, with angles of 90.00, 90.00 and 90.00 degrees. The inequivalent atoms are Te at (0.0939, 0.2500, 0.1250), H at (0.0000, 0.0000, 0.0000) and I at (0.0000, 0.0000, 0.5000).

***

Below is an optimized crystal structure of TeH2I8, with properties calculated at the GGA-PBE level.

As for the crystal system: triclinic. For the total energy, the calculation gives -21.92 eV/cell.

The space group is P-1 (No. 2) and the conventional cell measures 7.6767, 8.3413 and 9.2649 Å, with angles of 70.61, 80.13 and 80.57 degrees. The inequivalent atoms are Te at (0.0000, 0.0000, 0.0000), H at (0.2490, 0.9132, 0.6513), I at (0.0769, 0.6266, 0.1490), I at (0.1194, 0.8566, 0.4796), I at (0.3352, 0.9864, 0.7780) and I at (0.3733, 0.5397, 0.3900).

***

Below is an optimized crystal structure of TeH5I4, with properties calculated at the GGA-PBE level.

As for the crystal system: tetragonal. For the total energy, the calculation gives -49.21 eV/cell.

The space group is I4 (No. 79) and the conventional cell measures 8.6248, 8.6248 and 7.4312 Å, with angles of 90.00, 90.00 and 90.00 degrees. The inequivalent atoms are Te at (0.0000, 0.0000, 0.0000), H at (0.0000, 0.0000, 0.7735), H at (0.1238, 0.2281, 0.9861) and I at (0.0929, 0.7153, 0.4683).

***

Taking the records one at a time from the top gives V values of 25.0 26.9 31.9 42.0 28.9 26.5 49.8 27.6 Å³/atom.
Taking the records one at a time from the top gives magnetic moment values of 0.0 0.0 0.0 0.9 0.0 0.0 0.0 0.0 μB/cell.